1.
{"formula": "BaHg2Ir", "functional": "GGA-PBE", "state": "optimized geometry", "dft_energy_ev_per_atom": -2.888, "n_ef_per_ev_cell": 3.35, "e_form_ev_per_atom": -0.04, "lattice_angstrom": [[-6.102, 0.631, -1.529], [-5.499, -2.064, 2.340], [-5.087, 2.662, 2.648]], "species": ["Ir", "Hg", "Hg", "Ba"], "fractional_positions": [[0.250, 0.250, 0.250], [0.959, 0.959, 0.959], [0.541, 0.541, 0.541], [0.750, 0.750, 0.750]]}



2.
{"formula": "Y6Al2Tl", "functional": "GGA-PBE", "state": "optimized geometry", "dft_energy_ev_per_atom": -5.715, "n_ef_per_ev_cell": 13.62, "e_form_ev_per_atom": -0.31, "lattice_angstrom": [[8.170, -0.059, -3.128], [-4.290, 7.251, -2.357], [-0.229, 0.059, 8.746]], "species": ["Y", "Y", "Y", "Y", "Y", "Y", "Y", "Y", "Y", "Y", "Y", "Y", "Al", "Al", "Al", "Al", "Tl", "Tl"], "fractional_positions": [[0.540, 0.725, 0.816], [0.460, 0.275, 0.184], [0.091, 0.275, 0.816], [0.909, 0.725, 0.184], [0.798, 0.757, 0.555], [0.202, 0.243, 0.445], [0.202, 0.757, 0.959], [0.798, 0.243, 0.041], [0.706, 0.385, 0.679], [0.294, 0.615, 0.321], [0.294, 0.973, 0.679], [0.706, 0.027, 0.321], [0.500, 0.379, 0.879], [0.500, 0.621, 0.121], [0.643, 0.000, 0.643], [0.357, 0.000, 0.357], [0.000, 0.500, 0.500], [0.000, 0.000, 0.000]]}



3.
{"formula": "CuAgRh2", "functional": "GGA-PBE", "state": "optimized geometry", "dft_energy_ev_per_atom": -5.172, "n_ef_per_ev_cell": 5.72, "de_polymorph_mev_per_atom": 128.9, "e_form_ev_per_atom": 0.24, "lattice_angstrom": [[2.734, 0.000, 0.000], [0.000, 2.734, 0.000], [0.000, 0.000, 7.865]], "species": ["Ag", "Cu", "Rh", "Rh"], "fractional_positions": [[0.500, 0.500, 0.250], [0.500, 0.500, 0.750], [0.000, 0.000, 0.976], [0.000, 0.000, 0.524]]}



4.
{"formula": "Ca3ZrTl", "functional": "GGA-PBE", "state": "optimized geometry", "dft_energy_ev_per_atom": -2.607, "n_ef_per_ev_cell": 6.10, "de_polymorph_mev_per_atom": 194.5, "e_form_ev_per_atom": 0.78, "lattice_angstrom": [[5.760, 0.000, 0.000], [0.000, 5.760, 0.000], [0.000, 0.000, 5.760]], "species": ["Tl", "Ca", "Ca", "Ca", "Zr"], "fractional_positions": [[0.500, 0.500, 0.500], [0.000, 0.500, 0.000], [0.000, 0.000, 0.500], [0.500, 0.000, 0.000], [0.000, 0.000, 0.000]]}



5.
{"formula": "MoSeBr2", "functional": "GGA-PBE", "state": "optimized geometry", "dft_energy_ev_per_atom": -4.173, "e_form_raw_ev_per_fu": 0.97, "n_ef_per_ev_cell": 4.88, "de_polymorph_mev_per_atom": 573.4, "lattice_angstrom": [[3.425, -0.001, 0.000], [-1.910, 2.843, 0.000], [0.000, 0.000, 10.660]], "species": ["Br", "Br", "Mo", "Se"], "fractional_positions": [[0.000, 0.000, 0.995], [0.500, 0.500, 0.317], [0.000, 0.000, 0.508], [0.500, 0.500, 0.680]]}



6.
{"formula": "CaDy2Er", "functional": "GGA-PBE", "state": "optimized geometry", "dft_energy_ev_per_atom": -3.783, "n_ef_per_ev_cell": 5.09, "de_polymorph_mev_per_atom": 95.4, "e_form_ev_per_atom": 0.16, "lattice_angstrom": [[3.531, 0.000, 0.000], [1.765, 3.058, 0.000], [1.765, 1.019, 12.510]], "species": ["Ca", "Dy", "Dy", "Er"], "fractional_positions": [[0.000, 0.000, 0.000], [0.092, 0.092, 0.725], [0.908, 0.908, 0.275], [0.500, 0.500, 0.500]]}



7.
{"formula": "LiTi2Zn2", "functional": "GGA-PBE", "state": "optimized geometry", "dft_energy_ev_per_atom": -4.003, "n_ef_per_ev_cell": 8.25, "de_polymorph_mev_per_atom": 0.0, "e_form_ev_per_atom": 0.05, "lattice_angstrom": [[8.050, 0.000, 0.000], [0.000, 8.050, 0.000], [0.000, 0.000, 2.645]], "species": ["Zn", "Zn", "Zn", "Zn", "Li", "Li", "Ti", "Ti", "Ti", "Ti"], "fractional_positions": [[0.174, 0.674, 0.500], [0.674, 0.826, 0.500], [0.826, 0.326, 0.500], [0.326, 0.174, 0.500], [0.000, 0.000, 0.000], [0.500, 0.500, 0.000], [0.379, 0.879, 0.000], [0.879, 0.621, 0.000], [0.621, 0.121, 0.000], [0.121, 0.379, 0.000]]}



8.
{"formula": "La4Pm2Y2Ho", "functional": "GGA-PBE", "state": "optimized geometry", "dft_energy_ev_per_atom": -5.167, "n_ef_per_ev_cell": 16.75, "e_form_ev_per_atom": 0.02, "lattice_angstrom": [[-3.051, 1.830, -0.861], [-0.950, -7.867, -5.570], [-4.382, -4.183, 6.640]], "species": ["La", "La", "La", "La", "Pm", "Pm", "Y", "Y", "Ho"], "fractional_positions": [[0.777, 0.555, 0.671], [0.223, 0.445, 0.329], [0.555, 0.109, 0.327], [0.445, 0.891, 0.673], [0.889, 0.778, 0.330], [0.111, 0.222, 0.670], [0.334, 0.669, 0.002], [0.666, 0.331, 0.998], [0.000, 0.000, 0.000]]}



9.
{"formula": "CdIn5Hg2Bi", "functional": "GGA-PBE", "state": "optimized geometry", "dft_energy_ev_per_atom": -2.091, "n_ef_per_ev_cell": 7.15, "e_form_ev_per_atom": 0.03, "lattice_angstrom": [[-0.569, -3.502, -2.853], [2.075, -3.116, 7.045], [-13.453, -0.767, 3.623]], "species": ["Cd", "Cd", "In", "In", "In", "In", "In", "In", "In", "In", "In", "In", "Hg", "Hg", "Hg", "Hg", "Bi", "Bi"], "fractional_positions": [[0.743, 0.486, 0.425], [0.257, 0.514, 0.925], [0.414, 0.828, 0.087], [0.760, 0.520, 0.761], [0.423, 0.846, 0.767], [0.249, 0.499, 0.594], [0.920, 0.839, 0.592], [0.586, 0.172, 0.587], [0.240, 0.480, 0.261], [0.577, 0.154, 0.267], [0.751, 0.501, 0.094], [0.080, 0.161, 0.092], [0.918, 0.836, 0.927], [0.087, 0.173, 0.750], [0.082, 0.164, 0.427], [0.913, 0.827, 0.250], [0.600, 0.200, 0.922], [0.400, 0.800, 0.422]]}



10.
{"formula": "ZrZn2Co2", "functional": "GGA-PBE", "state": "optimized geometry", "dft_energy_ev_per_atom": -5.142, "n_ef_per_ev_cell": 8.19, "de_polymorph_mev_per_atom": 7.5, "e_form_ev_per_atom": -0.08, "lattice_angstrom": [[3.572, 0.000, 0.000], [0.000, 3.572, 0.000], [-1.786, -1.786, 11.648]], "species": ["Zr", "Zr", "Zn", "Zn", "Zn", "Zn", "Co", "Co", "Co", "Co"], "fractional_positions": [[0.617, 0.617, 0.234], [0.383, 0.383, 0.766], [0.000, 0.500, 0.000], [0.178, 0.178, 0.355], [0.500, 0.000, 0.000], [0.822, 0.822, 0.645], [0.750, 0.250, 0.500], [0.925, 0.925, 0.850], [0.075, 0.075, 0.150], [0.250, 0.750, 0.500]]}



11.
{"formula": "Li2ErNpSe4", "functional": "GGA-PBE", "state": "optimized geometry", "dft_energy_ev_per_atom": -5.838, "e_form_raw_ev_per_fu": -11.44, "n_ef_per_ev_cell": 8.56, "lattice_angstrom": [[4.073, 0.000, 0.000], [0.000, 7.077, 0.107], [0.000, -2.480, 6.447]], "species": ["Li", "Li", "Er", "Np", "Se", "Se", "Se", "Se"], "fractional_positions": [[0.500, 0.000, 0.500], [0.000, 0.500, 0.500], [0.500, 0.500, 0.000], [0.000, 0.000, 0.000], [0.500, 0.257, 0.254], [0.500, 0.743, 0.746], [0.000, 0.254, 0.746], [0.000, 0.746, 0.254]]}



12.
{"formula": "Y4Tm3Mg", "functional": "GGA-PBE", "state": "optimized geometry", "dft_energy_ev_per_atom": -5.109, "n_ef_per_ev_cell": 12.00, "de_polymorph_mev_per_atom": 0.0, "e_form_ev_per_atom": 0.00, "lattice_angstrom": [[3.550, 0.000, 0.000], [0.000, 3.550, 0.000], [0.000, 0.000, 19.293]], "species": ["Y", "Y", "Y", "Y", "Mg", "Tm", "Tm", "Tm"], "fractional_positions": [[0.000, 0.000, 0.885], [0.000, 0.000, 0.115], [0.000, 0.000, 0.371], [0.000, 0.000, 0.629], [0.500, 0.500, 0.000], [0.500, 0.500, 0.242], [0.500, 0.500, 0.500], [0.500, 0.500, 0.758]]}